(1)
## In2PbBr (PBE-GGA)

Data for a relaxed In2PbBr crystal.

DOS(E_F) = 2.69 states/eV/f.u.
Space group = No. 47
E above lowest polymorph = 56 meV/atom

abc: 3.564 5.631 5.819
angles: 90.00 90.00 90.00
Positions (direct):
1 In 0.000 0.000 0.000
2 In 0.500 0.500 0.000
3 Pb 0.000 0.500 0.500
4 Br 0.500 0.000 0.500

(2)
## Sc3Ti5O12 (PBE-GGA)

Data for a relaxed Sc3Ti5O12 crystal.

DOS(E_F) = 11.62 states/eV/f.u.
Space group = No. 230

abc: 10.629 10.629 10.629
angles: 109.47 109.47 109.47
Positions (direct):
1 Sc 0.125 0.250 0.375
2 Sc 0.125 0.375 0.750
3 Sc 0.250 0.375 0.125
4 Sc 0.250 0.875 0.625
5 Sc 0.375 0.125 0.250
6 Sc 0.375 0.750 0.125
7 Sc 0.625 0.250 0.875
8 Sc 0.625 0.875 0.750
9 Sc 0.750 0.125 0.375
10 Sc 0.750 0.625 0.875
11 Sc 0.875 0.625 0.250
12 Sc 0.875 0.750 0.625
13 Ti 0.000 0.000 0.000
14 Ti 0.000 0.000 0.500
15 Ti 0.000 0.500 0.000
16 Ti 0.000 0.500 0.500
17 Ti 0.125 0.750 0.875
18 Ti 0.125 0.875 0.250
19 Ti 0.250 0.125 0.875
20 Ti 0.250 0.625 0.375
21 Ti 0.375 0.250 0.625
22 Ti 0.375 0.625 0.750
23 Ti 0.500 0.000 0.000
24 Ti 0.500 0.000 0.500
25 Ti 0.500 0.500 0.000
26 Ti 0.500 0.500 0.500
27 Ti 0.625 0.375 0.250
28 Ti 0.625 0.750 0.375
29 Ti 0.750 0.375 0.625
30 Ti 0.750 0.875 0.125
31 Ti 0.875 0.125 0.750
32 Ti 0.875 0.250 0.125
33 O 0.038 0.217 0.129
34 O 0.038 0.321 0.909
35 O 0.088 0.717 0.679
36 O 0.088 0.871 0.409
37 O 0.091 0.629 0.412
38 O 0.091 0.962 0.679
39 O 0.129 0.038 0.217
40 O 0.129 0.591 0.912
41 O 0.179 0.217 0.588
42 O 0.179 0.462 0.591
43 O 0.217 0.129 0.038
44 O 0.217 0.588 0.179
45 O 0.283 0.321 0.912
46 O 0.283 0.462 0.371
47 O 0.321 0.909 0.038
48 O 0.321 0.912 0.283
49 O 0.371 0.283 0.462
50 O 0.371 0.588 0.909
51 O 0.409 0.088 0.871
52 O 0.409 0.821 0.538
53 O 0.412 0.091 0.629
54 O 0.412 0.821 0.783
55 O 0.462 0.371 0.283
56 O 0.462 0.591 0.179
57 O 0.538 0.409 0.821
58 O 0.538 0.629 0.717
59 O 0.588 0.179 0.217
60 O 0.588 0.909 0.371
61 O 0.591 0.179 0.462
62 O 0.591 0.912 0.129
63 O 0.629 0.412 0.091
64 O 0.629 0.717 0.538
65 O 0.679 0.088 0.717
66 O 0.679 0.091 0.962
67 O 0.717 0.538 0.629
68 O 0.717 0.679 0.088
69 O 0.783 0.412 0.821
70 O 0.783 0.871 0.962
71 O 0.821 0.538 0.409
72 O 0.821 0.783 0.412
73 O 0.871 0.409 0.088
74 O 0.871 0.962 0.783
75 O 0.909 0.038 0.321
76 O 0.909 0.371 0.588
77 O 0.912 0.129 0.591
78 O 0.912 0.283 0.321
79 O 0.962 0.679 0.091
80 O 0.962 0.783 0.871

| no. | final energy (eV per atom) | ΔE_f (raw) (eV per atom) |
| --- | --- | --- |
| 1 | -2.88 | -0.17 |
| 2 | -8.83 | -2.93 |